TmScPdPb after structural relaxation, computed with GGA-PBE.

Unit cell a=5.0342 b=5.0342 c=5.0342 alpha=60.00 beta=60.00 gamma=60.00
Fractional positions:
Tm: 0.0000 0.0000 0.0000
Pb: 0.7500 0.7500 0.7500
Sc: 0.5000 0.5000 0.5000
Pd: 0.2500 0.2500 0.2500

Computed properties:
E: -5.512 eV per atom
Density: 9.71 g/cm³
Calculated volume: 22.55 Å³/atom
Fermi-level density of states: 2.43 states/eV/f.u.
Symmetry: No. 216
Calculated formation energy: -0.586 eV per atom